Density functional theory data (PBE-GGA) for an optimized crystal structure of KSe2.

Values from the calculation:
energy relative to the elements, uncorrected	-14.88	kcal/mol of atoms
total magnetic moment	0.000	μB per cell
offset from the most stable computed form	23	meV/atom
density	3.37	g cm⁻³
uncorrected energy	-3.33	eV per atom
V	32.4	A^3/atom

abc: 6.793 6.570 4.656
angles: 90.00 110.80 90.00
Fractional coordinates of all 6 atoms:
K: 0.000 0.000 0.000
K: 0.500 0.500 0.000
Se: 0.075 0.500 0.289
Se: 0.425 0.000 0.711
Se: 0.575 0.000 0.289
Se: 0.925 0.500 0.711

Density functional theory data (PBE-GGA) for an optimized crystal structure of KSe2.

Values from the calculation:
energy relative to the elements, uncorrected	-15.41	kcal/mol of atoms
total magnetic moment	0.000	μB per cell
offset from the most stable computed form	0	meV/atom
density	3.22	g cm⁻³
uncorrected energy	-3.36	eV per atom
V	33.9	A^3/atom

abc: 5.334 6.376 6.738
angles: 75.22 77.98 67.73
Fractional coordinates of all 6 atoms:
K: 0.000 0.000 0.000
K: 0.324 0.416 0.499
Se: 0.251 0.436 0.004
Se: 0.640 0.763 0.671
Se: 0.764 0.563 0.026
Se: 0.934 0.975 0.517